<a>
This record from Alexandria describes an optimized crystal structure of TlCu2Rh. The functional is GGA-PBE.

Values from the calculation:
M_tot (μB/cell): 0.0

Geometry as CIF:
```
data_TlCu2Rh
_cell_length_a 8.712
_cell_length_b 3.975
_cell_length_c 3.969
_cell_angle_alpha 90.00
_cell_angle_beta 116.94
_cell_angle_gamma 90.00
_space_group_name_H-M_alt 'C 1 m 1'
_space_group_IT_number 8
loop_
_space_group_symop_operation_xyz
'x,y,z'
'x,-y,z'
'x+1/2,y+1/2,z'
'x+1/2,-y+1/2,z'
loop_
_atom_site_label
_atom_site_type_symbol
_atom_site_fract_x
_atom_site_fract_y
_atom_site_fract_z
Tl1 Tl 0.000 0.000 0.000
Cu1 Cu 0.000 0.500 0.500
Cu2 Cu 0.250 0.000 0.750
Rh1 Rh 0.250 0.500 0.250
```

***

<b>
This record from Alexandria describes an optimized crystal structure of TlCu2Rh. The functional is GGA-PBE.

Values from the calculation:
M_tot (μB/cell): 0.0

Geometry as CIF:
```
data_TlCu2Rh
_cell_length_a 2.981
_cell_length_b 4.511
_cell_length_c 4.772
_cell_angle_alpha 90.00
_cell_angle_beta 93.26
_cell_angle_gamma 90.00
_space_group_name_H-M_alt 'P 1 2/m 1'
_space_group_IT_number 10
loop_
_space_group_symop_operation_xyz
'x,y,z'
'-x,-y,-z'
'-x,y,-z'
'x,-y,z'
loop_
_atom_site_label
_atom_site_type_symbol
_atom_site_fract_x
_atom_site_fract_y
_atom_site_fract_z
Tl1 Tl 0.000 0.000 0.000
Cu1 Cu 0.245 0.500 0.718
Rh1 Rh 0.500 0.000 0.500
```

***

Stability ranking, top and bottom: <a> is the most stable and <b> is the least stable.